(1)
Computed, not measured: a geometry-optimized YP2Rh structure at the GGA-PBEsol level of DFT.

Cell lengths 4.3778, 4.3778, 8.4363 Å; angles 105.04, 105.04, 90.00 degrees
With the nearest neighbours (Å) after each atom.
Element x y z (fractional)
Y 0.7500 0.2500 0.5000  4 P 2.81, 4 Rh 3.10
Y 0.5000 0.5000 0.0000  4 P 2.81, 4 Rh 3.10
P 0.2385 0.8750 0.2500  2 Rh 2.30, 2 P 2.40
P 0.0115 0.3750 0.2500  2 Rh 2.30, 2 P 2.40
P 0.1250 0.9885 0.7500  2 Rh 2.30, 2 P 2.40
P 0.6250 0.7615 0.7500  2 Rh 2.30, 2 P 2.40
Rh 0.2500 0.7500 0.5000  4 P 2.30
Rh 0.0000 0.0000 0.0000  4 P 2.30

Output
* DFT formation energy: -0.75 eV per atom
* density of states at the Fermi level: 3.4 states/eV per cell
* ΔE to the lowest computed polymorph: 90 meV per atom


(2)
Computed, not measured: a geometry-optimized Y2P7Rh12 structure at the GGA-PBEsol level of DFT.

Cell lengths 3.8089, 9.4711, 9.4711 Å; angles 120.00, 90.00, 90.00 degrees
With the nearest neighbours (Å) after each atom.
Element x y z (fractional)
Y 0.2498 0.6667 0.3333  6 P 2.96-2.98, 6 Rh 3.01
Y 0.7502 0.3333 0.6667  6 P 2.96-2.98, 6 Rh 3.01
P 0.5000 0.0000 0.0000  6 Rh 2.35
P 0.2463 0.5942 0.8811  7 Rh 2.30-2.53
P 0.2463 0.2869 0.4058  7 Rh 2.30-2.53
P 0.2463 0.1189 0.7131  7 Rh 2.30-2.53
P 0.7537 0.4058 0.1189  7 Rh 2.30-2.53
P 0.7537 0.7131 0.5942  7 Rh 2.30-2.53
P 0.7537 0.8811 0.2869  7 Rh 2.30-2.53
Rh 0.2503 0.5520 0.6184  4 P 2.30-2.53
Rh 0.2503 0.0665 0.4480  4 P 2.30-2.53
Rh 0.2503 0.3816 0.9335  4 P 2.30-2.53
Rh 0.7497 0.4480 0.3816  4 P 2.30-2.53
Rh 0.7497 0.9335 0.5520  4 P 2.30-2.53
Rh 0.7497 0.6184 0.0665  4 P 2.30-2.53
Rh 0.2484 0.8495 0.1106  4 P 2.31-2.47
Rh 0.2484 0.2611 0.1505  4 P 2.31-2.47
Rh 0.2484 0.8894 0.7389  4 P 2.31-2.47
Rh 0.7516 0.1505 0.8894  4 P 2.31-2.47
Rh 0.7516 0.7389 0.8495  4 P 2.31-2.47
Rh 0.7516 0.1106 0.2611  4 P 2.31-2.47

Output
* DFT formation energy: -0.99 eV per atom
* density of states at the Fermi level: 14.9 states/eV per cell


(3)
Computed, not measured: a geometry-optimized YP2Rh structure at the GGA-PBEsol level of DFT.

Cell lengths 3.4422, 3.5085, 6.1271 Å; angles 106.64, 106.31, 90.00 degrees
With the nearest neighbours (Å) after each atom.
Element x y z (fractional)
P 0.9809 0.9809 0.9618  4 Rh 2.56, 2 Y 2.77
P 0.1853 0.6853 0.3707  2 Rh 2.34
Rh 0.5440 0.5440 0.0880  6 P 2.34-2.56
Y 0.7898 0.2898 0.5796  6 P 2.72-2.77

Output
* DFT formation energy: -0.84 eV per atom
* density of states at the Fermi level: 0.8 states/eV per cell
* ΔE to the lowest computed polymorph: 0 meV per atom


(4)
Computed, not measured: a geometry-optimized ZnPRh structure at the GGA-PBEsol level of DFT.

Cell lengths 4.0005, 4.0005, 4.0005 Å; angles 60.00, 60.00, 60.00 degrees
With the nearest neighbours (Å) after each atom.
Element x y z (fractional)
P 0.0000 0.0000 0.0000  4 Zn 2.45
Rh 0.5000 0.5000 0.5000  4 Zn 2.45
Zn 0.2500 0.2500 0.2500  4 Rh 2.45, 4 P 2.45

Output
* DFT formation energy: 0.23 eV per atom
* density of states at the Fermi level: 2.2 states/eV per cell


(5)
Computed, not measured: a geometry-optimized Zn3PRh structure at the GGA-PBEsol level of DFT.

Cell lengths 4.4101, 4.4101, 4.4101 Å; angles 90.00, 90.00, 90.00 degrees
With the nearest neighbours (Å) after each atom.
Element x y z (fractional)
P 0.0000 0.0000 0.0000  6 Zn 2.21
Zn 0.0000 0.5000 0.0000  2 P 2.21
Zn 0.0000 0.0000 0.5000  2 P 2.21
Zn 0.5000 0.0000 0.0000  2 P 2.21
Rh 0.5000 0.5000 0.5000  12 Zn 3.12

Output
* DFT formation energy: 0.73 eV per atom
* density of states at the Fermi level: 4.0 states/eV per cell


(6)
Computed, not measured: a geometry-optimized ZnPRh2 structure at the GGA-PBEsol level of DFT.

Cell lengths 2.8224, 2.8224, 8.0776 Å; angles 79.94, 79.94, 60.00 degrees
With the nearest neighbours (Å) after each atom.
Element x y z (fractional)
P 0.2555 0.2555 0.2335  3 Rh 2.32
Rh 0.9916 0.9916 0.0252  3 P 2.32
Rh 0.7518 0.7518 0.7446  3 Zn 2.55, 9 Rh 2.75-2.82
Zn 0.5011 0.5011 0.4966  3 Rh 2.55, 3 P 2.64, 6 Zn 2.82

Output
* DFT formation energy: -0.14 eV per atom
* density of states at the Fermi level: 2.8 states/eV per cell
* ΔE to the lowest computed polymorph: 0 meV per atom